{"formula": "Ba6HPt2I2", "functional": "PBE", "state": "optimized geometry", "lattice": [[7.864, -0.010, 0.063], [-3.896, 6.831, 0.063], [-1.421, -2.442, 8.679]], "species": ["Ba", "Ba", "Ba", "Ba", "Ba", "Ba", "H", "Pt", "Pt", "I", "I"], "fractional_positions": [[0.738, 0.738, 0.690], [0.068, 0.401, 0.699], [0.262, 0.262, 0.310], [0.401, 0.068, 0.699], [0.932, 0.599, 0.301], [0.599, 0.932, 0.301], [0.000, 0.000, 0.500], [0.330, 0.670, 0.500], [0.670, 0.330, 0.500], [0.834, 0.166, 0.000], [0.166, 0.834, 0.000]], "volume_a3_per_atom": 42.58, "space_group": "C2/m", "e_tot_ev_per_atom": -3.597}

***

{"formula": "NaCePr", "functional": "PBE", "state": "optimized geometry", "lattice": [[3.529, 0.000, 0.000], [-1.765, 3.056, 0.000], [0.000, 0.000, 9.380]], "species": ["Pr", "Na", "Ce"], "fractional_positions": [[0.333, 0.667, 0.654], [0.000, 0.000, 0.001], [0.667, 0.333, 0.346]], "volume_a3_per_atom": 33.72, "de_polymorph_mev_per_atom": 116, "space_group": "P3m1"}

***

{"formula": "SbTePdO6", "functional": "PBE", "state": "optimized geometry", "lattice": [[-4.877, 1.357, -1.697], [2.983, -3.373, -2.870], [-3.751, -7.434, 4.838]], "species": ["Sb", "Sb", "Te", "Te", "Pd", "Pd", "O", "O", "O", "O", "O", "O", "O", "O", "O", "O", "O", "O"], "fractional_positions": [[0.000, 0.000, 0.000], [0.000, 0.000, 0.500], [0.667, 0.333, 0.250], [0.333, 0.667, 0.750], [0.333, 0.667, 0.250], [0.667, 0.333, 0.750], [0.655, 0.640, 0.135], [0.985, 0.345, 0.135], [0.345, 0.985, 0.635], [0.015, 0.655, 0.865], [0.360, 0.345, 0.365], [0.985, 0.640, 0.365], [0.640, 0.985, 0.865], [0.655, 0.015, 0.365], [0.015, 0.360, 0.635], [0.360, 0.015, 0.135], [0.640, 0.655, 0.635], [0.345, 0.360, 0.865]], "volume_a3_per_atom": 13.21, "raw_formation_energy_ev_per_atom": -0.82, "space_group": "P-31c"}

***

{"formula": "KCr2Mo", "functional": "PBE", "state": "optimized geometry", "lattice": [[0.000, 3.386, 3.386], [3.386, 0.000, 3.386], [3.386, 3.386, 0.000]], "species": ["Cr", "Cr", "Mo", "K"], "fractional_positions": [[0.250, 0.250, 0.250], [0.750, 0.750, 0.750], [0.500, 0.500, 0.500], [0.000, 0.000, 0.000]], "volume_a3_per_atom": 19.41, "de_polymorph_mev_per_atom": 649, "space_group": "Fm-3m"}

***

{"formula": "NaTiIn", "functional": "PBE", "state": "optimized geometry", "lattice": [[-0.066, 3.404, -3.780], [-0.869, -4.914, -0.987], [-2.994, 0.439, 0.448]], "species": ["Na", "Ti", "In"], "fractional_positions": [[0.667, 0.333, 0.500], [0.333, 0.667, 0.000], [0.000, 0.000, 0.000]], "volume_a3_per_atom": 22.85, "de_polymorph_mev_per_atom": 454, "space_group": "P-6m2"}

***

{"formula": "Tb3Ho2Th6", "functional": "PBE", "state": "optimized geometry", "lattice": [[3.567, 0.000, 0.219], [1.777, 3.093, 0.219], [-0.159, -0.092, 31.781]], "species": ["Tb", "Tb", "Tb", "Ho", "Ho", "Th", "Th", "Th", "Th", "Th", "Th"], "fractional_positions": [[0.000, 0.000, 0.000], [0.727, 0.727, 0.818], [0.273, 0.273, 0.182], [0.546, 0.546, 0.363], [0.454, 0.454, 0.637], [0.909, 0.909, 0.273], [0.091, 0.091, 0.727], [0.818, 0.818, 0.545], [0.182, 0.182, 0.455], [0.636, 0.636, 0.091], [0.364, 0.364, 0.909]], "volume_a3_per_atom": 31.89, "space_group": "R-3m", "e_tot_ev_per_atom": -6.110}